Compound: La2TcAu
Source: Alexandria via LeMat-Bulk
Functional: PBE-GGA
Structure: relaxed

Computed properties:
The size of the total moment comes out at 0.0 μB/f.u. Its calculated volume is 23.6 Å³/atom. The calculated formation energy comes out at -0.039 eV per atom. The total energy is -5.913 eV per atom.

```
La2TcAu
1.0
5.762 0.021 0.000
2.353 5.259 0.000
-4.058 -2.640 3.124
Tc La Au
1 2 1
direct
0.500 0.500 0.000
0.250 0.750 0.500
0.000 0.000 0.000
0.750 0.250 0.500
```